InCoIrAu, optimized geometry, DFT PBE; magnetic moment = 0.385 μB/atom; electronic total energy = -5.27 eV/atom; space-group type = F-43m (216)
1.0
0.000 3.181 3.181
3.181 0.000 3.181
3.181 3.181 0.000
Ir Au In Co
1 1 1 1
direct
0.250 0.250 0.250
0.500 0.500 0.500
0.000 0.000 0.000
0.750 0.750 0.750

LuInCoAu, optimized geometry, DFT PBE; magnetic moment = 0.315 μB/atom; electronic total energy = -4.74 eV/atom; space-group type = F-43m (216)
1.0
0.000 3.347 3.347
3.347 0.000 3.347
3.347 3.347 0.000
In Co Lu Au
1 1 1 1
direct
0.000 0.000 0.000
0.750 0.750 0.750
0.500 0.500 0.500
0.250 0.250 0.250

LuInCoAu, optimized geometry, DFT PBE; magnetic moment = 0.001 μB/atom; electronic total energy = -4.54 eV/atom; space-group type = F-43m (216)
1.0
0.000 3.344 3.344
3.344 0.000 3.344
3.344 3.344 0.000
Lu Co In Au
1 1 1 1
direct
0.250 0.250 0.250
0.750 0.750 0.750
0.000 0.000 0.000
0.500 0.500 0.500

MgInCoAu, optimized geometry, DFT PBE; magnetic moment = 0.303 μB/atom; electronic total energy = -3.76 eV/atom; space-group type = F-43m (216)
1.0
-4.421 0.226 1.163
-2.897 2.515 -2.496
-3.158 -2.053 -2.599
Au In Mg Co
1 1 1 1
direct
0.250 0.250 0.250
0.000 0.000 0.000
0.500 0.500 0.500
0.750 0.750 0.750